Material: TlIn2Br3
Method: DFT, PBE
State: relaxed

a = 10.598 Å, b = 10.598 Å, c = 10.598 Å
α = 154.15°, β = 154.15°, γ = 36.88°
Sites, in units of the cell vectors:
Tl (0.000, 0.000, 0.000)
In (0.333, 0.333, 0.000)
In (0.667, 0.667, 0.000)
Br (0.168, 0.168, 0.000)
Br (0.500, 0.500, 0.000)
Br (0.832, 0.832, 0.000)

## Properties
Calculated total energy ... -2.8612 eV per atom
V ... 37.67 Å³/atom
Magnetic moment ... 0.0000 μB/atom
E above lowest polymorph ... 0.000 eV/atom